1.
RbCrSn2Mo: optimized geometry, GGA-PBE.

Unit cell a=5.3501 b=4.9730 c=5.3501 alpha=90.00 beta=90.00 gamma=90.00
Each line ends with the local moment (μB).
Sites, in units of the cell vectors:
Cr 0.0000 0.5000 0.0000  3.36
Mo 0.0000 0.0000 0.0000  -0.55
Sn 0.0000 0.0000 0.5000  -0.04
Sn 0.5000 0.0000 0.0000  0.02
Rb 0.5000 0.5000 0.5000  0.01

Summary:
ρ (g/cm³): 5.5
Formation energy from the elements (meV per atom): 479
V (Å³/cell): 142.3
Total DFT energy (no corrections) (eV per atom): -5.406
Size of the total moment (μB/f.u.): 3.260

2.
InTc2Sb: optimized geometry, GGA-PBE.

Unit cell a=4.6082 b=4.6082 c=3.2655 alpha=90.00 beta=90.00 gamma=90.02
Sites, in units of the cell vectors:
In 0.5000 0.0000 0.5000
Sb 0.0000 0.5000 0.5000
Tc 0.0000 0.0000 0.0000
Tc 0.5000 0.5000 0.0000

Summary:
ρ (g/cm³): 10.4
V (Å³/cell): 69.3
Total DFT energy (no corrections) (eV per atom): -6.619
ΔE_f (raw) (eV per atom): 0.28
Size of the total moment (μB/f.u.): 0.000

3.
La4HoTh2: optimized geometry, GGA-PBE.

Unit cell a=3.6510 b=3.6510 c=21.0933 alpha=85.04 beta=85.04 gamma=60.00
Sites, in units of the cell vectors:
Ho 0.0000 0.0000 0.0000
Th 0.1894 0.1894 0.4317
Th 0.8106 0.8106 0.5683
La 0.3799 0.3799 0.8603
La 0.0969 0.0969 0.7092
La 0.6201 0.6201 0.1397
La 0.9031 0.9031 0.2908

Summary:
ρ (g/cm³): 8.1
Formation energy from the elements (meV per atom): 39
V (Å³/cell): 242.3
Total DFT energy (no corrections) (eV per atom): -5.550
Size of the total moment (μB/f.u.): 0.001

4.
CaHg2Sb: optimized geometry, GGA-PBE.

Unit cell a=6.4783 b=6.4783 c=6.4783 alpha=148.36 beta=129.35 gamma=60.96
Sites, in units of the cell vectors:
Sb 0.7500 0.2500 0.5000
Ca 0.2500 0.7500 0.5000
Hg 0.0000 0.0000 0.0000
Hg 0.5000 0.5000 0.0000

Summary:
ρ (g/cm³): 8.6
V (Å³/cell): 109.3
Total DFT energy (no corrections) (eV per atom): -2.053
ΔE_f (raw) (eV per atom): -0.37
Size of the total moment (μB/f.u.): 0.000

5.
CeTiRu2: optimized geometry, GGA-PBE.

Unit cell a=3.2398 b=4.6530 c=4.6530 alpha=90.00 beta=90.00 gamma=90.00
Sites, in units of the cell vectors:
Ru 0.0000 0.0000 0.5000
Ru 0.0000 0.5000 0.0000
Ce 0.5000 0.0000 0.0000
Ti 0.5000 0.5000 0.5000

Summary:
ρ (g/cm³): 9.2
Formation energy from the elements (meV per atom): -355
V (Å³/cell): 70.1
Total DFT energy (no corrections) (eV per atom): -8.451
Size of the total moment (μB/f.u.): 0.000

6.
CaDy2Hg4Pb: optimized geometry, GGA-PBE.

Unit cell a=5.2847 b=5.2847 c=9.1356 alpha=73.19 beta=73.19 gamma=60.00
Sites, in units of the cell vectors:
Ca 0.0000 0.0000 0.0000
Dy 0.7547 0.7547 0.7359
Dy 0.2453 0.2453 0.2641
Hg 0.3687 0.3687 0.8940
Hg 0.8796 0.8796 0.3612
Hg 0.1204 0.1204 0.6388
Hg 0.6313 0.6313 0.1060
Pb 0.5000 0.5000 0.5000

Summary:
ρ (g/cm³): 11.0
Formation energy from the elements (meV per atom): -410
V (Å³/cell): 208.3
Total DFT energy (no corrections) (eV per atom): -2.425
Size of the total moment (μB/f.u.): 0.000

7.
CuNi2Pd6: optimized geometry, GGA-PBE.

Unit cell a=3.9172 b=5.8721 c=6.1926 alpha=83.92 beta=71.56 gamma=70.52
Each line ends with the local moment (μB).
Sites, in units of the cell vectors:
Cu 0.0000 0.5000 0.5000  0.06
Ni 0.3329 0.4999 0.8343  0.92
Ni 0.6671 0.5001 0.1657  0.92
Pd 0.9905 0.1850 0.8341  0.28
Pd 0.3246 0.1848 0.1660  0.28
Pd 0.6754 0.8152 0.8340  0.28
Pd 0.3421 0.8158 0.5000  0.26
Pd 0.6579 0.1842 0.5000  0.26
Pd 0.0095 0.8150 0.1659  0.28

Summary:
ρ (g/cm³): 10.7
Formation energy from the elements (meV per atom): -10
V (Å³/cell): 127.4
Total DFT energy (no corrections) (eV per atom): -5.212
Size of the total moment (μB/f.u.): 3.432

8.
InAsRuCl: optimized geometry, GGA-PBE.

Unit cell a=4.4834 b=3.2619 c=11.5360 alpha=90.00 beta=90.00 gamma=90.00
Sites, in units of the cell vectors:
Ru 0.0000 0.0000 0.1028
Ru 0.5000 0.5000 0.6028
As 0.0000 0.0000 0.2954
As 0.5000 0.5000 0.7954
Cl 0.0000 0.0000 0.8865
Cl 0.5000 0.5000 0.3865
In 0.0000 0.0000 0.5982
In 0.5000 0.5000 0.0982

Summary:
ρ (g/cm³): 6.4
V (Å³/cell): 168.7
Total DFT energy (no corrections) (eV per atom): -4.680
ΔE_f (raw) (eV per atom): -0.05
Size of the total moment (μB/f.u.): 0.000

9.
CrBAu3: optimized geometry, GGA-PBE.

Unit cell a=4.3792 b=4.3792 c=4.3792 alpha=90.00 beta=90.00 gamma=90.00
Each line ends with the local moment (μB).
Sites, in units of the cell vectors:
Cr 0.5000 0.5000 0.5000  3.92
B 0.0000 0.0000 0.0000  -0.04
Au 0.0000 0.5000 0.0000  -0.03
Au 0.0000 0.0000 0.5000  -0.04
Au 0.5000 0.0000 0.0000  0.00

Summary:
ρ (g/cm³): 12.9
Formation energy from the elements (meV per atom): 370
V (Å³/cell): 84.0
Total DFT energy (no corrections) (eV per atom): -4.857
Size of the total moment (μB/f.u.): 4.247

10.
Ac2Ni6GeP: optimized geometry, GGA-PBE.

Unit cell a=6.0354 b=6.4710 c=6.0414 alpha=62.12 beta=60.02 gamma=89.99
Sites, in units of the cell vectors:
Ac 0.7161 0.1488 0.5677
Ac 0.2839 0.8512 0.4323
Ni 0.2555 0.3526 0.4887
Ni 0.7445 0.6477 0.0964
Ni 0.1592 0.6478 0.0962
Ni 0.8408 0.3522 0.9038
Ni 0.2555 0.3523 0.9037
Ni 0.7445 0.6474 0.5114
Ge 0.0000 0.0000 0.0000
P 0.5000 0.5000 0.0000

Summary:
ρ (g/cm³): 8.8
Formation energy from the elements (meV per atom): -497
V (Å³/cell): 172.1
Total DFT energy (no corrections) (eV per atom): -5.791
Size of the total moment (μB/f.u.): 0.000

11.
SrAl2Ru: optimized geometry, GGA-PBE.

Unit cell a=4.7497 b=4.7497 c=4.7497 alpha=60.00 beta=60.00 gamma=60.00
Sites, in units of the cell vectors:
Ru 0.5000 0.5000 0.5000
Al 0.2500 0.2500 0.2500
Al 0.7500 0.7500 0.7500
Sr 0.0000 0.0000 0.0000

Summary:
ρ (g/cm³): 5.3
Formation energy from the elements (meV per atom): 100
V (Å³/cell): 75.8
Total DFT energy (no corrections) (eV per atom): -4.510
Size of the total moment (μB/f.u.): 0.000

12.
Ca2YAl2: optimized geometry, GGA-PBE.

Unit cell a=9.0611 b=9.0611 c=3.2916 alpha=90.00 beta=90.00 gamma=90.00
Each line ends with the local moment (μB).
Sites, in units of the cell vectors:
Y 0.0000 0.0000 0.0000  0.20
Y 0.5000 0.5000 0.0000  0.20
Ca 0.3760 0.8760 0.0000  0.00
Ca 0.8760 0.6240 0.0000  0.00
Ca 0.6240 0.1240 0.0000  0.00
Ca 0.1240 0.3760 0.0000  0.00
Al 0.1750 0.6750 0.5000  0.00
Al 0.6750 0.8250 0.5000  0.00
Al 0.8250 0.3250 0.5000  0.00
Al 0.3250 0.1750 0.5000  0.00

Summary:
ρ (g/cm³): 2.7
Formation energy from the elements (meV per atom): -44
V (Å³/cell): 270.2
Total DFT energy (no corrections) (eV per atom): -3.635
Size of the total moment (μB/f.u.): 0.334

13.
AlCd2Sn: optimized geometry, GGA-PBE.

Unit cell a=4.6215 b=4.6215 c=6.0177 alpha=67.42 beta=67.42 gamma=60.00
Sites, in units of the cell vectors:
Al 0.6748 0.6748 0.9755
Cd 0.0658 0.0658 0.8026
Cd 0.2663 0.2663 0.2012
Sn 0.4931 0.4931 0.5207

Summary:
ρ (g/cm³): 6.2
Formation energy from the elements (meV per atom): 171
V (Å³/cell): 99.8
Total DFT energy (no corrections) (eV per atom): -2.223
Size of the total moment (μB/f.u.): 0.000

14.
Rb4MnCl6: optimized geometry, GGA-PBE.

Unit cell a=8.9683 b=8.9683 c=9.3153 alpha=90.00 beta=90.00 gamma=90.00
Each line ends with the local moment (μB).
Sites, in units of the cell vectors:
Rb 0.3276 0.1724 0.2500  0.00
Rb 0.1724 0.6724 0.7500  0.00
Rb 0.6724 0.8276 0.7500  0.00
Rb 0.8276 0.3276 0.7500  0.00
Rb 0.3276 0.1724 0.7500  0.00
Rb 0.1724 0.6724 0.2500  0.00
Rb 0.8276 0.3276 0.2500  0.00
Rb 0.6724 0.8276 0.2500  0.00
Mn 0.5000 0.5000 0.0000  4.44
Mn 0.0000 0.0000 0.5000  4.44
Cl 0.2829 0.9117 0.5000  0.03
Cl 0.7829 0.5883 0.0000  0.03
Cl 0.5883 0.2171 0.0000  0.03
Cl 0.0883 0.2829 0.5000  0.03
Cl 0.0000 0.0000 0.2329  0.03
Cl 0.5000 0.5000 0.2671  0.03
Cl 0.4117 0.7829 0.0000  0.03
Cl 0.0000 0.0000 0.7671  0.03
Cl 0.2171 0.4117 0.0000  0.03
Cl 0.5000 0.5000 0.7329  0.03
Cl 0.9117 0.7171 0.5000  0.03
Cl 0.7171 0.0883 0.5000  0.03

Summary:
ρ (g/cm³): 2.7
V (Å³/cell): 749.2
Total DFT energy (no corrections) (eV per atom): -3.902
ΔE_f (raw) (eV per atom): -1.71
Size of the total moment (μB/f.u.): 5.000

15.
Er3AlPt3: optimized geometry, GGA-PBE.

Unit cell a=4.0235 b=5.5955 c=14.0832 alpha=90.00 beta=90.00 gamma=111.07
Sites, in units of the cell vectors:
Er 0.2055 0.4110 0.8926
Er 0.7945 0.5890 0.1074
Er 0.2055 0.4110 0.6074
Er 0.7945 0.5890 0.3926
Er 0.4795 0.9590 0.7500
Er 0.5205 0.0410 0.2500
Al 0.5000 0.0000 0.0000
Al 0.5000 0.0000 0.5000
Pt 0.9198 0.8396 0.9104
Pt 0.0802 0.1604 0.0896
Pt 0.9198 0.8396 0.5896
Pt 0.0802 0.1604 0.4104
Pt 0.7516 0.5032 0.7500
Pt 0.2484 0.4968 0.2500

Summary:
ρ (g/cm³): 12.5
Formation energy from the elements (meV per atom): -1197
V (Å³/cell): 295.9
Total DFT energy (no corrections) (eV per atom): -6.276
Size of the total moment (μB/f.u.): 0.000

16.
K2LiO2: optimized geometry, GGA-PBE.

Unit cell a=6.5151 b=6.5151 c=3.9664 alpha=90.00 beta=90.00 gamma=90.00
Each line ends with the local moment (μB).
Sites, in units of the cell vectors:
K 0.1497 0.6497 0.5000  0.00
K 0.6497 0.8503 0.5000  0.00
K 0.8503 0.3503 0.5000  0.00
K 0.3503 0.1497 0.5000  0.00
O 0.3309 0.8309 0.0000  0.41
O 0.8309 0.6691 0.0000  0.41
O 0.6691 0.1691 0.0000  0.41
O 0.1691 0.3309 0.0000  0.41
Li 0.0000 0.0000 0.0000  -0.01
Li 0.5000 0.5000 0.0000  -0.01

Summary:
ρ (g/cm³): 2.3
V (Å³/cell): 168.4
Total DFT energy (no corrections) (eV per atom): -3.671
ΔE_f (raw) (eV per atom): -0.87
Size of the total moment (μB/f.u.): 1.000

17.
BaLi2Ca3: optimized geometry, GGA-PBE.

Unit cell a=5.9602 b=5.9602 c=15.3486 alpha=90.00 beta=90.00 gamma=120.00
Sites, in units of the cell vectors:
Ba 0.0000 0.0000 0.2500
Ba 0.0000 0.0000 0.7500
Li 0.6667 0.3333 0.3655
Li 0.3333 0.6667 0.6345
Li 0.3333 0.6667 0.8655
Li 0.6667 0.3333 0.1345
Ca 0.0000 0.0000 0.5000
Ca 0.0000 0.0000 0.0000
Ca 0.6667 0.3333 0.5934
Ca 0.3333 0.6667 0.0934
Ca 0.6667 0.3333 0.9066
Ca 0.3333 0.6667 0.4066

Summary:
ρ (g/cm³): 1.9
Formation energy from the elements (meV per atom): 65
V (Å³/cell): 472.2
Total DFT energy (no corrections) (eV per atom): -1.894
Size of the total moment (μB/f.u.): 0.000

18.
ErB2W: optimized geometry, GGA-PBE.

Unit cell a=3.3493 b=3.3493 c=5.9955 alpha=73.78 beta=73.78 gamma=60.00
Sites, in units of the cell vectors:
B 0.7354 0.7354 0.7938
B 0.2646 0.2646 0.2062
W 0.0000 0.0000 0.0000
Er 0.5000 0.5000 0.5000

Summary:
ρ (g/cm³): 11.2
Formation energy from the elements (meV per atom): -129
V (Å³/cell): 55.1
Total DFT energy (no corrections) (eV per atom): -7.847
Size of the total moment (μB/f.u.): 0.000

19.
PaGe2W: optimized geometry, GGA-PBE.

Unit cell a=3.3464 b=3.3464 c=6.5871 alpha=90.00 beta=90.00 gamma=90.00
Sites, in units of the cell vectors:
Ge 0.0000 0.0000 0.7086
Ge 0.0000 0.0000 0.2914
Pa 0.5000 0.5000 0.0000
W 0.5000 0.5000 0.5000

Summary:
ρ (g/cm³): 12.6
Formation energy from the elements (meV per atom): 12
V (Å³/cell): 73.8
Total DFT energy (no corrections) (eV per atom): -7.909
Size of the total moment (μB/f.u.): 0.000

20.
K2ZrMn: optimized geometry, GGA-PBE.

Unit cell a=5.6275 b=5.6275 c=5.6275 alpha=60.00 beta=60.00 gamma=60.00
Each line ends with the local moment (μB).
Sites, in units of the cell vectors:
K 0.2500 0.2500 0.2500  -0.03
K 0.7500 0.7500 0.7500  -0.03
Mn 0.0000 0.0000 0.0000  0.35
Zr 0.5000 0.5000 0.5000  -1.05

Summary:
ρ (g/cm³): 3.0
Formation energy from the elements (meV per atom): 2108
V (Å³/cell): 126.0
Total DFT energy (no corrections) (eV per atom): -2.870
Size of the total moment (μB/f.u.): 1.523

21.
Co2PbBr: optimized geometry, GGA-PBE.

Unit cell a=4.6624 b=4.6624 c=8.1311 alpha=73.34 beta=73.34 gamma=90.00
Each line ends with the local moment (μB).
Sites, in units of the cell vectors:
Pb 0.0000 0.0000 0.0000  -0.05
Pb 0.7500 0.2500 0.5000  -0.06
Co 0.5000 0.1250 0.2500  0.83
Co 0.2500 0.6250 0.2500  0.83
Co 0.3750 0.5000 0.7500  1.02
Co 0.8750 0.7500 0.7500  0.99
Br 0.5000 0.5000 0.0000  -0.01
Br 0.2500 0.7500 0.5000  -0.01

Summary:
ρ (g/cm³): 8.3
V (Å³/cell): 161.6
Total DFT energy (no corrections) (eV per atom): -4.273
ΔE_f (raw) (eV per atom): 0.62
Size of the total moment (μB/f.u.): 1.646

22.
HfTaMn3: optimized geometry, GGA-PBE.

Unit cell a=4.5519 b=4.5519 c=4.5519 alpha=90.00 beta=90.00 gamma=90.00
Each line ends with the local moment (μB).
Sites, in units of the cell vectors:
Mn 0.0000 0.5000 0.0000  2.47
Mn 0.0000 0.0000 0.5000  2.29
Mn 0.5000 0.0000 0.0000  2.54
Hf 0.5000 0.5000 0.5000  -0.47
Ta 0.0000 0.0000 0.0000  -0.59

Summary:
ρ (g/cm³): 9.2
Formation energy from the elements (meV per atom): 1126
V (Å³/cell): 94.3
Total DFT energy (no corrections) (eV per atom): -8.737
Size of the total moment (μB/f.u.): 6.093

23.
K2ReAgO6: optimized geometry, GGA-PBE.

Unit cell a=6.0721 b=6.2755 c=6.0471 alpha=58.93 beta=65.77 gamma=58.68
Sites, in units of the cell vectors:
K 0.5533 0.5711 0.3059
K 0.0656 0.0604 0.8110
Re 0.2726 0.3168 0.0944
Ag 0.8174 0.8165 0.5493
O 0.5193 0.0817 0.3106
O 0.1134 0.0846 0.2492
O 0.1241 0.5582 0.2435
O 0.5677 0.4338 0.8044
O 0.5655 0.1902 0.8046
O 0.0626 0.5483 0.8423

Summary:
ρ (g/cm³): 4.7
V (Å³/cell): 165.4
Total DFT energy (no corrections) (eV per atom): -5.976
ΔE_f (raw) (eV per atom): -1.25
Size of the total moment (μB/f.u.): 0.000

24.
Pm5Sn2Ge2: optimized geometry, GGA-PBE.

Unit cell a=8.1163 b=8.1157 c=8.8210 alpha=117.39 beta=90.00 gamma=90.00
Sites, in units of the cell vectors:
Pm 0.0000 0.0000 0.0000
Pm 0.5000 0.5000 0.0000
Pm 0.8269 0.8063 0.2614
Pm 0.1731 0.4551 0.2614
Pm 0.3269 0.9551 0.2614
Pm 0.6731 0.3063 0.2614
Pm 0.1731 0.1937 0.7386
Pm 0.8269 0.5449 0.7386
Pm 0.6731 0.0449 0.7386
Pm 0.3269 0.6937 0.7386
Sn 0.0000 0.2105 0.4210
Sn 0.5000 0.7105 0.4210
Sn 0.0000 0.7895 0.5790
Sn 0.5000 0.2895 0.5790
Ge 0.6265 0.8754 0.0000
Ge 0.3735 0.1246 0.0000
Ge 0.1265 0.6246 0.0000
Ge 0.8735 0.3754 0.0000

Summary:
ρ (g/cm³): 7.1
Formation energy from the elements (meV per atom): -776
V (Å³/cell): 515.9
Total DFT energy (no corrections) (eV per atom): -5.331
Size of the total moment (μB/f.u.): 0.000